No. 1
{"formula": "Ca2AcGd", "functional": "PBE-GGA", "state": "optimized geometry", "sg": "P4/mmm", "energy_ev_per_atom": -5.43, "relative_energy_mev_per_atom": 12, "cell": [[-0.6421, 3.9625, 1.6447], [-0.8779, -2.4167, 5.4797], [5.9215, 0.4783, 1.1597]], "species": ["Ac", "Gd", "Ca", "Ca"], "frac_coords": [[0.5000, 0.0000, 0.0000], [0.5000, 0.5000, 0.5000], [0.0000, 0.0000, 0.5000], [0.0000, 0.5000, 0.0000]]}



No. 2
{"formula": "Ca2AcGd", "functional": "PBE-GGA", "state": "optimized geometry", "sg": "P4/mmm", "energy_ev_per_atom": -5.44, "relative_energy_mev_per_atom": 0, "cell": [[4.2643, 0.0000, 0.0000], [0.0000, 4.2643, 0.0000], [0.0000, 0.0000, 8.7287]], "species": ["Ac", "Gd", "Ca", "Ca"], "frac_coords": [[0.5000, 0.5000, 0.0000], [0.5000, 0.5000, 0.5000], [0.0000, 0.0000, 0.7330], [0.0000, 0.0000, 0.2670]]}



No. 3
{"formula": "Ca2AcGd", "functional": "PBE-GGA", "state": "optimized geometry", "sg": "R-3m", "energy_ev_per_atom": -5.32, "relative_energy_mev_per_atom": 122, "cell": [[-3.4153, -1.4509, -0.2390], [-1.6770, -1.3189, 3.0454], [-7.0505, 11.2919, 3.2781]], "species": ["Ac", "Gd", "Ca", "Ca"], "frac_coords": [[0.5000, 0.5000, 0.5000], [0.0000, 0.0000, 0.0000], [0.0854, 0.0854, 0.7439], [0.9146, 0.9146, 0.2561]]}



Number 1: E_form 2.6 kcal/mol of atoms. Number 2: E_form 2.4 kcal/mol of atoms. Number 3: E_form 5.2 kcal/mol of atoms.